This record from the Alexandria database describes an optimized crystal structure of TiS3Cl. The functional is PBE-GGA.

symmetry = No. 2
polymorph energy (0 for the lowest one) = 0.0000 eV per atom
ΔE_f (raw) = -0.831 eV/atom

abc: 3.379 7.027 11.537
angles: 104.39 90.10 99.51
Sites, in units of the cell vectors:
1 Ti 0.058 0.174 0.219
2 Ti 0.942 0.826 0.781
3 S 0.060 0.743 0.569
4 S 0.429 0.983 0.673
5 S 0.493 0.963 0.083
6 S 0.507 0.037 0.917
7 S 0.571 0.017 0.327
8 S 0.940 0.257 0.431
9 Cl 0.353 0.570 0.792
10 Cl 0.647 0.430 0.208

***

This record from the Alexandria database describes an optimized crystal structure of Na6Tl2Sn. The functional is PBE-GGA.

energy of formation from the pure elements = -2.43 kcal/mol of atoms
symmetry = No. 12
density of states at the Fermi level = 0.589 states/eV per atom

abc: 9.426 9.426 3.277
angles: 90.02 90.02 60.09
Sites, in units of the cell vectors:
1 Na 0.172 0.828 0.000
2 Na 0.173 0.500 0.002
3 Na 0.500 0.173 0.002
4 Na 0.500 0.827 0.998
5 Na 0.827 0.500 0.998
6 Na 0.828 0.172 0.000
7 Tl 0.167 0.167 0.500
8 Tl 0.833 0.833 0.500
9 Sn 0.500 0.500 0.500

***

This record from the Alexandria database describes an optimized crystal structure of Ti2Ir3Rh3. The functional is PBE-GGA.

energy of formation from the pure elements = -15.44 kcal/mol of atoms
symmetry = No. 47
density of states at the Fermi level = 1.097 states/eV per atom

abc: 3.863 3.872 7.722
angles: 90.00 90.00 90.00
Sites, in units of the cell vectors:
1 Ti 0.000 0.000 0.250
2 Ti 0.000 0.000 0.750
3 Ir 0.000 0.500 0.000
4 Ir 0.500 0.000 0.000
5 Ir 0.500 0.000 0.500
6 Rh 0.000 0.500 0.500
7 Rh 0.500 0.500 0.250
8 Rh 0.500 0.500 0.750

***

This record from the Alexandria database describes an optimized crystal structure of NdTmAgOs. The functional is PBE-GGA.

energy of formation from the pure elements = -4.39 kcal/mol of atoms
symmetry = No. 216
density of states at the Fermi level = 0.733 states/eV per atom

abc: 5.002 5.002 5.002
angles: 60.00 60.00 60.00
Sites, in units of the cell vectors:
1 Nd 0.000 0.000 0.000
2 Tm 0.500 0.500 0.500
3 Ag 0.250 0.250 0.250
4 Os 0.750 0.750 0.750

***

This record from the Alexandria database describes an optimized crystal structure of LaCoMo2. The functional is PBE-GGA.

energy of formation from the pure elements = 17.27 kcal/mol of atoms
symmetry = No. 65
polymorph energy (0 for the lowest one) = 0.4315 eV per atom
density of states at the Fermi level = 1.208 states/eV per atom

abc: 5.610 5.610 2.798
angles: 90.00 90.00 125.34
Sites, in units of the cell vectors:
1 La 0.000 0.000 0.000
2 Co 0.500 0.500 0.000
3 Mo 0.000 0.500 0.500
4 Mo 0.500 0.000 0.500

***

This record from the Alexandria database describes an optimized crystal structure of LiCaNiPb. The functional is PBE-GGA.

energy of formation from the pure elements = -5.48 kcal/mol of atoms
symmetry = No. 216
density of states at the Fermi level = 0.854 states/eV per atom

abc: 4.789 4.789 4.789
angles: 60.00 60.00 60.00
Sites, in units of the cell vectors:
1 Li 0.000 0.000 0.000
2 Ca 0.750 0.750 0.750
3 Ni 0.500 0.500 0.500
4 Pb 0.250 0.250 0.250

***

Magnetization
In order: 0.00; 0.00; 0.00; 0.00; 0.46; 0.00
Unit: μB per formula unit